The following is a PBE-GGA calculation of a geometry-optimized ErNiIr structure, from the Open Quantum Materials Database.

Summary:
**Energy relative to the elements**: -0.2297 eV per atom
**Space group**: No. 216

a = 4.286 Å, b = 4.286 Å, c = 4.286 Å
α = 60.00°, β = 60.00°, γ = 60.00°
Sites, in units of the cell vectors:
Er 0.250 0.250 0.250
Ir 0.750 0.750 0.750
Ni 0.000 0.000 0.000